First-principles (PBE with a Hubbard U) data for crystalline ZrPaFeO6 at its relaxed geometry, as listed in the Alexandria database.

abc: 5.5758 5.5758 8.7410
angles: 90.00 90.00 120.00
Space group P-31c (No. 163)
Inequivalent atoms, fractional coordinates:
Zr  0.3333  0.6667  0.2500 (multiplicity 2)
Pa  0.3333  0.6667  0.7500 (multiplicity 2)
Fe  0.0000  0.0000  0.0000 (multiplicity 2)
O  0.0085  0.3305  0.1276 (multiplicity 12)

Properties
Electronic total energy (eV/cell): -155.30
Size of the total moment (μB per cell): 10.07